Below is Sc3NO3 after structural relaxation, with properties calculated at the PBE-GGA level.

Output
- total magnetic moment (μB/atom) = 0.00

Cell: 5.995 3.162 8.797 Å, 90.00 100.05 90.00°
Element x y z (fractional)
Sc  0.087  0.250  0.359
Sc  0.233  0.250  0.943
Sc  0.410  0.750  0.649
Sc  0.590  0.250  0.351
Sc  0.767  0.750  0.057
Sc  0.913  0.750  0.641
N  0.158  0.250  0.629
N  0.842  0.750  0.371
O  0.015  0.250  0.122
O  0.348  0.750  0.384
O  0.451  0.750  0.881
O  0.549  0.250  0.119
O  0.652  0.250  0.616
O  0.985  0.750  0.878

Below is Sc3NO2 after structural relaxation, with properties calculated at the PBE-GGA level.

Output
- DOS(E_F) (states/eV per atom) = 0.54
- distance to the lowest polymorph of the same formula (eV per atom) = 0.2445
- total magnetic moment (μB/atom) = 0.00

Cell: 5.967 5.967 5.967 Å, 146.36 60.02 131.85°
Element x y z (fractional)
Sc  0.000  0.000  0.000
Sc  0.326  0.992  0.334
Sc  0.657  0.992  0.666
N  0.247  0.747  0.500
O  0.577  0.744  0.833
O  0.911  0.744  0.167

Below is Sc6NO2 after structural relaxation, with properties calculated at the PBE-GGA level.

Output
- DOS(E_F) (states/eV per atom) = 0.71
- total magnetic moment (μB/atom) = 0.00

Cell: 6.218 6.218 6.218 Å, 53.54 53.54 53.54°
Element x y z (fractional)
Sc  0.094  0.728  0.429
Sc  0.272  0.571  0.906
Sc  0.429  0.094  0.728
Sc  0.571  0.906  0.272
Sc  0.728  0.429  0.094
Sc  0.906  0.272  0.571
N  0.500  0.500  0.500
O  0.327  0.327  0.327
O  0.673  0.673  0.673

Below is Sc6NO after structural relaxation, with properties calculated at the PBE-GGA level.

Output
- DOS(E_F) (states/eV per atom) = 1.31
- total magnetic moment (μB/atom) = 0.00

Cell: 5.413 5.413 10.131 Å, 90.00 90.00 90.00°
Element x y z (fractional)
Sc  0.211  0.742  0.000
Sc  0.234  0.728  0.340
Sc  0.234  0.728  0.660
Sc  0.258  0.211  0.500
Sc  0.272  0.234  0.160
Sc  0.272  0.234  0.840
Sc  0.728  0.766  0.160
Sc  0.728  0.766  0.840
Sc  0.742  0.789  0.500
Sc  0.766  0.272  0.340
Sc  0.766  0.272  0.660
Sc  0.789  0.258  0.000
N  0.000  0.000  0.250
N  0.000  0.000  0.750
O  0.500  0.500  0.000
O  0.500  0.500  0.500

Below is Sc5N4O after structural relaxation, with properties calculated at the PBE-GGA level.

Output
- DOS(E_F) (states/eV per atom) = 0.19
- total magnetic moment (μB/atom) = 0.00

Cell: 8.440 8.440 8.440 Å, 158.23 149.06 38.15°
Element x y z (fractional)
Sc  0.000  0.000  0.000
Sc  0.200  0.200  0.000
Sc  0.395  0.395  0.000
Sc  0.605  0.605  0.000
Sc  0.800  0.800  0.000
N  0.098  0.598  0.500
N  0.302  0.802  0.500
N  0.698  0.198  0.500
N  0.902  0.402  0.500
O  0.500  0.000  0.500

Below is Sc4N3O after structural relaxation, with properties calculated at the PBE-GGA level.

Output
- DOS(E_F) (states/eV per atom) = 0.29
- total magnetic moment (μB/atom) = 0.00

Cell: 4.502 4.502 4.502 Å, 90.00 90.00 90.00°
Element x y z (fractional)
Sc  0.000  0.000  0.000
Sc  0.000  0.500  0.500
Sc  0.500  0.000  0.500
Sc  0.500  0.500  0.000
N  0.000  0.000  0.500
N  0.000  0.500  0.000
N  0.500  0.000  0.000
O  0.500  0.500  0.500

Below is Sc6N2O5 after structural relaxation, with properties calculated at the PBE-GGA level.

Output
- DOS(E_F) (states/eV per atom) = 0.24
- distance to the lowest polymorph of the same formula (eV per atom) = 0.0000
- total magnetic moment (μB/atom) = 0.00

Cell: 5.466 5.466 7.019 Å, 97.71 97.71 47.73°
Element x y z (fractional)
Sc  0.065  0.065  0.216
Sc  0.209  0.209  0.639
Sc  0.354  0.354  0.077
Sc  0.646  0.646  0.923
Sc  0.791  0.791  0.361
Sc  0.935  0.935  0.784
N  0.142  0.142  0.925
N  0.858  0.858  0.075
O  0.000  0.000  0.500
O  0.273  0.273  0.355
O  0.422  0.422  0.797
O  0.578  0.578  0.203
O  0.727  0.727  0.645

Below is Sc4N2O3 after structural relaxation, with properties calculated at the PBE-GGA level.

Output
- DOS(E_F) (states/eV per atom) = 0.00
- total magnetic moment (μB/atom) = 0.00

Cell: 5.466 5.466 8.101 Å, 120.55 120.55 33.76°
Element x y z (fractional)
Sc  0.082  0.082  0.378
Sc  0.264  0.264  0.169
Sc  0.736  0.736  0.831
Sc  0.918  0.918  0.622
N  0.124  0.124  0.867
N  0.876  0.876  0.133
O  0.305  0.305  0.678
O  0.500  0.500  0.500
O  0.695  0.695  0.322

Below is Sc4NO2 after structural relaxation, with properties calculated at the PBE-GGA level.

Output
- DOS(E_F) (states/eV per atom) = 0.43
- total magnetic moment (μB/atom) = 0.00

Cell: 6.173 6.173 5.449 Å, 115.70 115.70 29.86°
Element x y z (fractional)
Sc  0.120  0.120  0.280
Sc  0.372  0.372  0.193
Sc  0.628  0.628  0.807
Sc  0.880  0.880  0.720
N  0.500  0.500  0.000
O  0.241  0.241  0.737
O  0.759  0.759  0.263

Below is Sc8N3O4 after structural relaxation, with properties calculated at the PBE-GGA level.

Output
- DOS(E_F) (states/eV per atom) = 0.53
- total magnetic moment (μB/atom) = 0.00

Cell: 6.709 6.709 6.709 Å, 56.70 56.70 56.70°
Element x y z (fractional)
Sc  0.236  0.236  0.236
Sc  0.244  0.742  0.742
Sc  0.258  0.258  0.756
Sc  0.258  0.756  0.258
Sc  0.742  0.244  0.742
Sc  0.742  0.742  0.244
Sc  0.756  0.258  0.258
Sc  0.764  0.764  0.764
N  0.000  0.000  0.500
N  0.000  0.500  0.000
N  0.500  0.000  0.000
O  0.000  0.000  0.000
O  0.354  0.354  0.354
O  0.500  0.500  0.500
O  0.646  0.646  0.646

Below is Sc4NO after structural relaxation, with properties calculated at the PBE-GGA level.

Output
- DOS(E_F) (states/eV per atom) = 0.72
- distance to the lowest polymorph of the same formula (eV per atom) = 0.0000
- total magnetic moment (μB/atom) = 0.00

Cell: 6.448 6.448 6.448 Å, 119.93 119.85 90.19°
Element x y z (fractional)
Sc  0.257  0.249  0.492
Sc  0.257  0.765  0.008
Sc  0.260  0.247  0.013
Sc  0.266  0.753  0.513
Sc  0.734  0.247  0.487
Sc  0.740  0.753  0.987
Sc  0.743  0.235  0.992
Sc  0.743  0.751  0.508
N  0.500  0.000  0.000
N  0.500  0.500  0.500
O  0.000  0.000  0.000
O  0.500  0.000  0.500

Below is ScNO after structural relaxation, with properties calculated at the PBE-GGA level.

Output
- DOS(E_F) (states/eV per atom) = 0.02
- total magnetic moment (μB/atom) = 0.00

Cell: 6.466 6.449 3.903 Å, 72.66 72.16 35.18°
Element x y z (fractional)
Sc  0.178  0.178  0.822
Sc  0.822  0.822  0.178
N  0.115  0.885  0.885
N  0.885  0.115  0.115
O  0.250  0.250  0.250
O  0.750  0.750  0.750

Below is Sc6N2O5 after structural relaxation, with properties calculated at the PBE-GGA level.

Output
- DOS(E_F) (states/eV per atom) = 0.18
- distance to the lowest polymorph of the same formula (eV per atom) = 0.0185
- total magnetic moment (μB/atom) = 0.00

Cell: 5.460 5.462 5.464 Å, 99.84 99.92 99.68°
Element x y z (fractional)
Sc  0.000  0.000  0.000
Sc  0.124  0.568  0.280
Sc  0.279  0.151  0.584
Sc  0.409  0.696  0.873
Sc  0.564  0.278  0.156
Sc  0.698  0.861  0.448
N  0.220  0.348  0.947
N  0.347  0.925  0.225
O  0.068  0.802  0.644
O  0.473  0.506  0.503
O  0.622  0.048  0.800
O  0.767  0.651  0.104
O  0.922  0.199  0.348

Below is ScSnNO2 after structural relaxation, with properties calculated at the PBE-GGA level.

Output
- DOS(E_F) (states/eV per atom) = 0.42
- total magnetic moment (μB/atom) = 0.39

Cell: 4.091 4.091 4.310 Å, 90.00 90.00 90.00°
Element x y z (fractional)
Sc  0.000  0.000  0.000
Sn  0.500  0.500  0.500
N  0.000  0.000  0.500
O  0.000  0.500  0.000
O  0.500  0.000  0.000

Below is ScSnNO2 after structural relaxation, with properties calculated at the PBE-GGA level.

Output
- total magnetic moment (μB/atom) = 0.00

Cell: 3.984 3.984 4.137 Å, 90.00 90.00 90.00°
Element x y z (fractional)
Sc  0.000  0.000  0.000
Sn  0.500  0.500  0.500
N  0.500  0.500  0.000
O  0.000  0.500  0.500
O  0.500  0.000  0.500

Below is SrScNO2 after structural relaxation, with properties calculated at the PBE-GGA level.

Output
- DOS(E_F) (states/eV per atom) = 0.36
- total magnetic moment (μB/atom) = 0.40

Cell: 4.159 4.159 4.240 Å, 90.00 90.00 90.00°
Element x y z (fractional)
Sr  0.000  0.000  0.000
Sc  0.500  0.500  0.500
N  0.500  0.500  0.000
O  0.000  0.500  0.500
O  0.500  0.000  0.500

Below is SrScNO2 after structural relaxation, with properties calculated at the PBE-GGA level.

Output
- DOS(E_F) (states/eV per atom) = 0.75
- total magnetic moment (μB/atom) = 0.06

Cell: 4.380 4.380 4.333 Å, 90.00 90.00 90.00°
Element x y z (fractional)
Sr  0.000  0.000  0.000
Sc  0.500  0.500  0.500
N  0.000  0.000  0.500
O  0.000  0.500  0.000
O  0.500  0.000  0.000

Below is ScTa2NO after structural relaxation, with properties calculated at the PBE-GGA level.

Output
- DOS(E_F) (states/eV per atom) = 1.42
- total magnetic moment (μB/atom) = 0.00

Cell: 4.896 4.896 3.819 Å, 90.00 90.00 90.00°
Element x y z (fractional)
Sc  0.000  0.000  0.000
Ta  0.000  0.500  0.000
Ta  0.500  0.000  0.000
N  0.000  0.000  0.500
O  0.500  0.500  0.500

Below is TbScNO after structural relaxation, with properties calculated at the PBE-GGA level.

Output
- DOS(E_F) (states/eV per atom) = 0.51
- total magnetic moment (μB/atom) = 0.00

Cell: 6.059 6.059 6.059 Å, 151.02 150.58 41.77°
Element x y z (fractional)
Tb  0.000  0.000  0.000
Sc  0.759  0.259  0.500
N  0.338  0.838  0.500
O  0.602  0.602  0.000

Below is ScTcN2O after structural relaxation, with properties calculated at the PBE-GGA level.

Output
- DOS(E_F) (states/eV per atom) = 0.39
- total magnetic moment (μB/atom) = 0.42

Cell: 4.156 4.156 3.920 Å, 90.00 90.00 90.00°
Element x y z (fractional)
Sc  0.000  0.000  0.000
Tc  0.500  0.500  0.500
N  0.000  0.500  0.000
N  0.500  0.000  0.000
O  0.000  0.000  0.500

| no. | E_form (uncorrected) (eV per formula unit) |
| --- | --- |
| 1 | -20.966 |
| 2 | -14.497 |
| 3 | -15.231 |
| 4 | -7.840 |
| 5 | -21.938 |
| 6 | -17.892 |
| 7 | -37.286 |
| 8 | -23.636 |
| 9 | -15.323 |
| 10 | -32.564 |
| 11 | -9.755 |
| 12 | -6.321 |
| 13 | -37.045 |
| 14 | -4.776 |
| 15 | -4.929 |
| 16 | -9.097 |
| 17 | -0.730 |
| 18 | 9.792 |
| 19 | -7.717 |
| 20 | 2.649 |